The following is a DFT calculation (PBE-GGA) of crystalline NiPb3C4 at its relaxed geometry.

a b c (Å): 18.4195 3.9646 4.0730
angles (deg): 90.00 102.69 90.00
Last column: nearest neighbours and their distance in Å.
Space group C2/m (No. 12)
Symmetry-distinct sites (fractional):
Ni  0.0000  0.0000  0.0000 (multiplicity 2)  2 C 1.82
Pb  0.0000  0.5000  0.5000 (multiplicity 2)  4 Ni 2.84, 4 C 3.18
Pb  0.1810  0.5000  0.6199 (multiplicity 4)  3 C 2.56-2.85
C  0.0998  0.0000  0.0205 (multiplicity 4)  1 C 1.29
C  0.1688  0.0000  0.0029 (multiplicity 4)  1 C 1.29

The following is a DFT calculation (PBE-GGA) of crystalline Ho2TmZn3Ir2Au at its relaxed geometry.

Properties
ΔE_f   -69.4 kJ/mol of atoms

a b c (Å): 3.8092 12.5658 7.2705
angles (deg): 90.00 90.00 90.00
Last column: nearest neighbours and their distance in Å.
Space group Amm2 (No. 38)
Symmetry-distinct sites (fractional):
Ho  0.0000  0.2050  0.0000 (multiplicity 4)  4 Ir 2.91, 1 Au 2.98, 6 Zn 3.03-3.24
Tm  0.0000  0.0000  0.6146 (multiplicity 2)  4 Ir 2.90, 1 Au 2.97, 6 Zn 3.03-3.23
Zn  0.5000  0.0000  0.9393 (multiplicity 2)  2 Ir 2.69, 2 Au 2.72
Zn  0.5000  0.1327  0.3381 (multiplicity 4)  2 Ir 2.70-2.72, 2 Au 2.71
Ir  0.5000  0.1656  0.7044 (multiplicity 4)  3 Zn 2.69-2.72, 2 Tm 2.90, 4 Ho 2.91
Au  0.0000  0.0000  0.2066 (multiplicity 2)  6 Zn 2.71-2.72, 1 Tm 2.97, 2 Ho 2.98

Values for DFT total energy, eV/atom, ordered as above
-5.901 -4.985